PBE-GGA ThNO, optimized geometry; formation energy (no corrections) = -2.0995 eV per atom; offset from the most stable computed form = 0.080 eV/atom; crystal system = cubic; symmetry = No. 216; uncorrected energy = -9.0006 eV/atom
1.0
0.000 2.833 2.833
2.833 0.000 2.833
2.833 2.833 0.000
Th N O
1 1 1
Cartesian
0.000 0.000 0.000 Th
1.416 1.416 1.416 N
4.249 4.249 4.249 O

=====

PBE-GGA Ti6N3O, optimized geometry; formation energy (no corrections) = -1.4477 eV per atom; crystal system = monoclinic; symmetry = No. 12; uncorrected energy = -9.1781 eV/atom
1.0
4.807 -2.979 0.000
4.807 2.979 0.000
-2.270 0.000 4.144
Ti N O
6 3 1
Cartesian
2.476 1.493 2.753 Ti
0.013 0.000 4.053 Ti
4.867 1.493 1.390 Ti
2.476 -1.493 2.753 Ti
7.330 0.000 0.091 Ti
4.867 -1.493 1.390 Ti
0.000 0.000 0.000 N
1.132 0.000 2.323 N
6.212 0.000 1.821 N
3.672 0.000 2.072 O

=====

PBE-GGA Ti3N3O, optimized geometry; formation energy (no corrections) = -1.8272 eV per atom; crystal system = cubic; symmetry = No. 217; uncorrected energy = -9.4871 eV/atom
1.0
-4.229 4.229 4.229
4.229 -4.229 4.229
4.229 4.229 -4.229
Ti N O
12 12 4
Cartesian
5.314 1.029 -1.029 Ti
5.314 -1.029 1.029 Ti
3.143 1.029 1.029 Ti
3.199 3.199 -1.085 Ti
3.199 -1.085 3.199 Ti
1.029 3.143 1.029 Ti
1.029 1.029 3.143 Ti
1.029 5.314 -1.029 Ti
1.029 -1.029 5.314 Ti
-1.029 5.314 1.029 Ti
-1.029 1.029 5.314 Ti
-1.085 3.199 3.199 Ti
3.257 1.044 -1.044 N
3.257 -1.044 1.044 N
5.200 1.044 1.044 N
1.044 3.257 -1.044 N
1.044 -1.044 3.257 N
3.185 3.185 0.972 N
3.185 0.972 3.185 N
-1.044 3.257 1.044 N
-1.044 1.044 3.257 N
1.044 5.200 1.044 N
1.044 1.044 5.200 N
0.972 3.185 3.185 N
3.013 3.013 -3.013 O
3.013 -3.013 3.013 O
1.216 1.216 1.216 O
-3.013 3.013 3.013 O

=====

PBE-GGA Ti8N2O3, optimized geometry; formation energy (no corrections) = -1.7333 eV per atom; crystal system = monoclinic; symmetry = No. 12; uncorrected energy = -9.0168 eV/atom
1.0
5.246 -2.974 0.000
5.246 2.974 0.000
-1.836 0.000 4.848
Ti N O
8 2 3
Cartesian
0.887 0.000 1.115 Ti
3.475 1.477 1.170 Ti
2.450 0.000 3.520 Ti
5.181 1.477 3.679 Ti
3.475 -1.477 1.170 Ti
6.206 0.000 1.328 Ti
5.181 -1.477 3.679 Ti
7.769 0.000 3.733 Ti
0.802 0.000 4.818 N
7.854 0.000 0.031 N
5.246 1.398 0.000 O
4.328 0.000 2.424 O
5.246 -1.398 0.000 O

=====

PBE-GGA TiNO3, optimized geometry; formation energy (no corrections) = -0.2846 eV per atom; crystal system = cubic; symmetry = No. 221; uncorrected energy = -6.5036 eV/atom
1.0
3.836 0.000 0.000
0.000 3.836 0.000
0.000 0.000 3.836
Ti N O
1 1 3
Cartesian
0.000 0.000 0.000 Ti
1.918 1.918 1.918 N
0.000 0.000 1.918 O
0.000 1.918 0.000 O
1.918 0.000 0.000 O

=====

PBE-GGA Ti9N2O14, optimized geometry; formation energy (no corrections) = -2.6876 eV per atom; crystal system = trigonal; symmetry = No. 147; uncorrected energy = -8.9724 eV/atom
1.0
6.031 0.000 0.000
-3.015 5.223 0.000
0.000 0.000 8.023
Ti N O
9 2 14
Cartesian
0.000 0.000 0.000 Ti
-0.680 1.774 2.751 Ti
-1.139 4.924 2.751 Ti
0.000 3.482 0.010 Ti
1.196 1.475 5.273 Ti
1.819 3.747 2.751 Ti
3.015 1.741 8.013 Ti
4.155 0.298 5.273 Ti
3.695 3.449 5.273 Ti
0.000 3.482 1.992 N
3.015 1.741 6.031 N
0.000 0.000 2.127 O
0.000 0.000 5.896 O
-0.779 1.984 4.762 O
-1.662 3.668 7.192 O
0.670 1.949 7.192 O
-0.908 4.905 4.762 O
2.023 0.394 0.831 O
1.329 1.667 3.262 O
1.686 3.556 4.762 O
0.993 4.828 7.192 O
3.923 0.318 3.262 O
2.345 3.274 0.831 O
4.678 1.554 0.831 O
3.794 3.238 3.262 O

=====

PBE-GGA Ti5N4O, optimized geometry; formation energy (no corrections) = -1.8554 eV per atom; crystal system = orthorhombic; symmetry = No. 71; uncorrected energy = -9.6288 eV/atom
1.0
-1.506 2.129 7.553
1.506 -2.129 7.553
1.506 2.129 -7.553
Ti N O
5 4 1
Cartesian
0.000 0.000 0.000 Ti
0.000 0.000 3.008 Ti
0.000 0.000 5.947 Ti
0.000 0.000 9.160 Ti
0.000 0.000 12.099 Ti
1.506 0.000 1.499 N
1.506 0.000 4.523 N
0.000 2.129 3.030 N
0.000 2.129 6.054 N
0.000 2.129 0.000 O

=====

PBE-GGA TiN2O2, optimized geometry; formation energy (no corrections) = 0.6824 eV per atom; offset from the most stable computed form = 2.361 eV/atom; crystal system = tetragonal; symmetry = No. 123; uncorrected energy = -6.2101 eV/atom
1.0
3.750 0.000 0.000
0.000 3.750 0.000
0.000 0.000 4.188
Ti N O
1 2 2
Cartesian
0.000 0.000 0.000 Ti
0.000 0.000 2.094 N
1.875 1.875 2.094 N
0.000 1.875 0.000 O
1.875 0.000 0.000 O

=====

> Among the records above, which one has the highest formation energy (no corrections)?

TiN2O2